{
  "formula": "Y3Ho2Tm3",
  "functional": "PBE-GGA",
  "state": "relaxed",
  "cell": [[7.994, -2.833, 0.000], [7.994, 2.833, 0.000], [-2.222, 0.000, 5.565]],
  "species": ["Y", "Y", "Y", "Ho", "Ho", "Tm", "Tm", "Tm"],
  "fractional_positions": [[0.000, 0.000, 0.000], [0.132, 0.132, 0.574], [0.868, 0.868, 0.426], [0.250, 0.250, 0.183], [0.750, 0.750, 0.817], [0.369, 0.369, 0.814], [0.500, 0.500, 0.500], [0.631, 0.631, 0.186]],
  "polymorph_energy_mev_per_atom": 0,
  "dft_energy_ev_per_atom": -5.1422,
  "formation_energy_kj_per_mol_atoms": 10,
  "n_ef_per_ev_atom": 2.042
}